# 1
VASP calculation (PBE) on a geometry-optimized LaNd4Ho5 structure.

The value obtained for the calculated total energy is -0.1716 Ha/atom.

The space group is P4/mmm (No. 123) and the conventional cell measures 3.633, 3.633 and 25.210 Å, with angles of 90.00, 90.00 and 90.00 degrees. The asymmetric unit holds La at (0.000, 0.000, 0.000), Nd at (0.000, 0.000, 0.201), Nd at (0.000, 0.000, 0.400), Ho at (0.500, 0.500, 0.102), Ho at (0.500, 0.500, 0.301) and Ho at (0.500, 0.500, 0.500).

---

# 2
VASP calculation (PBE) on a geometry-optimized La4NdHo5 structure.

Its relative energy among the computed polymorphs is 0.00 eV/f.u.

The space group is C2/m (No. 12) and the conventional cell measures 17.229, 3.551 and 11.519 Å, with angles of 90.00, 90.33 and 90.00 degrees. The asymmetric unit holds La at (0.034, 0.000, 0.248), La at (0.162, 0.500, 0.750), Nd at (0.000, 0.500, 0.500), Ho at (0.000, 0.500, 0.000), Ho at (0.172, 0.000, 0.046) and Ho at (0.174, 0.000, 0.449).